No. 1
# PBE NaCa2Al2, relaxed
# Total DFT energy (no corrections) ... -2.5631 eV per atom
# Energy of formation from the pure elements ... -0.002 eV/atom
data_NaCa2Al2
_chemical_formula_sum 'Na2 Ca4 Al4'
_cell_length_a 9.116
_cell_length_b 9.116
_cell_length_c 3.409
_cell_angle_alpha 90.00
_cell_angle_beta 90.00
_cell_angle_gamma 90.00
_space_group_name_H-M_alt 'P 4/m b m'
_space_group_IT_number 127
_space_group_name_Hall '-P 4 2ab'
loop_
_atom_site_label
_atom_site_fract_x
_atom_site_fract_y
_atom_site_fract_z
_atom_site_occupancy
Na1 0.000 0.000 0.000 1
Ca1 0.185 0.315 0.000 1
Al1 0.106 0.606 0.500 1

=====

No. 2
# PBE Rb3MnCl8, relaxed
# Total DFT energy (no corrections) ... -3.2749 eV per atom
# Formation energy without anion corrections ... -1.04 eV/atom
data_Rb3MnCl8
_chemical_formula_sum 'Rb6 Mn2 Cl16'
_cell_length_a 8.098
_cell_length_b 8.098
_cell_length_c 11.321
_cell_angle_alpha 90.00
_cell_angle_beta 90.00
_cell_angle_gamma 90.00
_space_group_name_H-M_alt 'I 4/m m m'
_space_group_IT_number 139
_space_group_name_Hall '-I 4 2'
loop_
_atom_site_label
_atom_site_fract_x
_atom_site_fract_y
_atom_site_fract_z
_atom_site_occupancy
Rb1 0.000 0.000 0.000 1
Rb2 0.000 0.500 0.250 1
Mn1 0.000 0.000 0.500 1
Cl1 0.214 0.214 0.377 1

=====

No. 3
# PBE Li2CuPO4, relaxed
# Total DFT energy (no corrections) ... -6.0947 eV per atom
# Formation energy without anion corrections ... -1.95 eV/atom
data_Li2CuPO4
_chemical_formula_sum 'Li4 Cu2 P2 O8'
_cell_length_a 5.057
_cell_length_b 5.342
_cell_length_c 6.262
_cell_angle_alpha 88.46
_cell_angle_beta 89.67
_cell_angle_gamma 89.45
_space_group_name_H-M_alt 'P 1'
_space_group_IT_number 1
loop_
_space_group_symop_operation_xyz
'x,y,z'
loop_
_atom_site_label
_atom_site_fract_x
_atom_site_fract_y
_atom_site_fract_z
_atom_site_occupancy
Li1 0.000 0.000 0.000 1
Li2 0.006 0.517 0.259 1
Li3 0.014 0.518 0.752 1
Li4 0.496 0.168 0.251 1
Cu1 0.480 0.209 0.719 1
Cu2 0.511 0.628 0.511 1
P1 0.501 0.677 0.012 1
P2 0.995 0.015 0.496 1
O1 0.083 0.150 0.704 1
O2 0.093 0.738 0.501 1
O3 0.101 0.155 0.292 1
O4 0.195 0.665 0.004 1
O5 0.600 0.951 0.014 1
O6 0.607 0.525 0.212 1
O7 0.629 0.545 0.814 1
O8 0.687 0.017 0.492 1

=====

No. 4
# PBE Ba2LiRhN2, relaxed
# Total DFT energy (no corrections) ... -5.0713 eV per atom
# Formation energy without anion corrections ... -0.11 eV/atom
data_Ba2LiRhN2
_chemical_formula_sum 'Ba4 Li2 Rh2 N4'
_cell_length_a 6.667
_cell_length_b 8.882
_cell_length_c 4.422
_cell_angle_alpha 90.00
_cell_angle_beta 90.00
_cell_angle_gamma 90.00
_space_group_name_H-M_alt 'P n n m'
_space_group_IT_number 58
loop_
_space_group_symop_operation_xyz
'x,y,z'
'-x,-y,-z'
'-x,-y,z'
'x,y,-z'
'x+1/2,-y+1/2,-z+1/2'
'-x+1/2,y+1/2,z+1/2'
'-x+1/2,y+1/2,-z+1/2'
'x+1/2,-y+1/2,z+1/2'
loop_
_atom_site_label
_atom_site_fract_x
_atom_site_fract_y
_atom_site_fract_z
_atom_site_occupancy
Ba1 0.122 0.249 0.000 1
Li1 0.000 0.000 0.500 1
Rh1 0.000 0.500 0.500 1
N1 0.229 0.918 0.000 1

=====

No. 5
# PBE HfMn3Zn9, relaxed
# Total DFT energy (no corrections) ... -3.7527 eV per atom
# Energy of formation from the pure elements ... 0.011 eV/atom
data_HfMn3Zn9
_chemical_formula_sum 'Hf2 Mn6 Zn18'
_cell_length_a 5.215
_cell_length_b 12.265
_cell_length_c 6.567
_cell_angle_alpha 90.00
_cell_angle_beta 111.75
_cell_angle_gamma 90.00
_space_group_name_H-M_alt 'C 1 2/m 1'
_space_group_IT_number 12
loop_
_space_group_symop_operation_xyz
'x,y,z'
'-x,-y,-z'
'-x,y,-z'
'x,-y,z'
'x+1/2,y+1/2,z'
'-x+1/2,-y+1/2,-z'
'-x+1/2,y+1/2,-z'
'x+1/2,-y+1/2,z'
loop_
_atom_site_label
_atom_site_fract_x
_atom_site_fract_y
_atom_site_fract_z
_atom_site_occupancy
Hf1 0.000 0.000 0.000 1
Mn1 0.000 0.000 0.500 1
Mn2 0.250 0.250 0.000 1
Zn1 0.000 0.500 0.500 1
Zn2 0.107 0.393 0.213 1
Zn3 0.155 0.173 0.339 1

=====

No. 6
# PBE Ba5Tl2Au, relaxed
# Total DFT energy (no corrections) ... -2.5881 eV per atom
# Energy of formation from the pure elements ... -0.385 eV/atom
data_Ba5Tl2Au
_chemical_formula_sum 'Ba10 Tl4 Au2'
_cell_length_a 7.900
_cell_length_b 14.483
_cell_length_c 5.911
_cell_angle_alpha 90.00
_cell_angle_beta 90.00
_cell_angle_gamma 90.00
_space_group_name_H-M_alt 'P b a m'
_space_group_IT_number 55
loop_
_space_group_symop_operation_xyz
'x,y,z'
'-x,-y,-z'
'-x,-y,z'
'x,y,-z'
'x+1/2,-y+1/2,-z'
'-x+1/2,y+1/2,z'
'-x+1/2,y+1/2,-z'
'x+1/2,-y+1/2,z'
loop_
_atom_site_label
_atom_site_fract_x
_atom_site_fract_y
_atom_site_fract_z
_atom_site_occupancy
Ba1 0.000 0.000 0.000 1
Ba2 0.140 0.291 0.000 1
Ba3 0.164 0.600 0.500 1
Tl1 0.110 0.857 0.500 1
Au1 0.000 0.500 0.000 1

=====

No. 7
# PBE DyPN2Cl, relaxed
# Total DFT energy (no corrections) ... -6.6788 eV per atom
# Formation energy without anion corrections ... -0.98 eV/atom
data_DyPN2Cl
_chemical_formula_sum 'Dy2 P2 N4 Cl2'
_cell_length_a 5.675
_cell_length_b 3.459
_cell_length_c 8.747
_cell_angle_alpha 90.00
_cell_angle_beta 103.77
_cell_angle_gamma 90.00
_space_group_name_H-M_alt 'P 1 21/m 1'
_space_group_IT_number 11
loop_
_space_group_symop_operation_xyz
'x,y,z'
'-x,-y,-z'
'-x,y+1/2,-z'
'x,-y+1/2,z'
loop_
_atom_site_label
_atom_site_fract_x
_atom_site_fract_y
_atom_site_fract_z
_atom_site_occupancy
Dy1 0.103 0.250 0.275 1
P1 0.456 0.250 0.895 1
N1 0.175 0.250 0.828 1
N2 0.325 0.750 0.184 1
Cl1 0.251 0.750 0.525 1

=====

No. 8
# PBE SrMgCd2Hg6, relaxed
# Total DFT energy (no corrections) ... -0.8415 eV per atom
# Energy of formation from the pure elements ... -0.150 eV/atom
data_SrMgCd2Hg6
_chemical_formula_sum 'Sr4 Mg4 Cd8 Hg24'
_cell_length_a 11.739
_cell_length_b 8.439
_cell_length_c 10.859
_cell_angle_alpha 90.00
_cell_angle_beta 97.96
_cell_angle_gamma 90.00
_space_group_name_H-M_alt 'C 1 2/c 1'
_space_group_IT_number 15
loop_
_space_group_symop_operation_xyz
'x,y,z'
'-x,-y,-z'
'-x,y,-z+1/2'
'x,-y,z+1/2'
'x+1/2,y+1/2,z'
'-x+1/2,-y+1/2,-z'
'-x+1/2,y+1/2,-z+1/2'
'x+1/2,-y+1/2,z+1/2'
loop_
_atom_site_label
_atom_site_fract_x
_atom_site_fract_y
_atom_site_fract_z
_atom_site_occupancy
Sr1 0.000 0.104 0.250 1
Mg1 0.000 0.322 0.750 1
Cd1 0.193 0.451 0.171 1
Hg1 0.088 0.429 0.417 1
Hg2 0.126 0.166 0.982 1
Hg3 0.159 0.169 0.604 1